## P
This record from OQMD via LeMat-Bulk describes a geometry-optimized PaBeAu structure. The functional is PBE.

a b c (Å): 4.3818 4.3818 4.3818
angles (deg): 60.00 60.00 60.00
Last column: nearest neighbours and their distance in Å.
Fractional positions:
Pa 0.0000 0.0000 0.0000  4 Be 2.68
Be 0.7500 0.7500 0.7500  4 Au 2.68, 4 Pa 2.68
Au 0.5000 0.5000 0.5000  4 Be 2.68

For the calculated density, the calculation gives 12.20 g/cm3. For the total moment, the calculation gives 0.00 μB/atom.

***

## Q
This record from OQMD via LeMat-Bulk describes a geometry-optimized PaBeAu structure. The functional is PBE.

a b c (Å): 4.5766 4.5766 4.5766
angles (deg): 60.00 60.00 60.00
Last column: nearest neighbours and their distance in Å.
Fractional positions:
Pa 0.0000 0.0000 0.0000  4 Au 2.80
Be 0.5000 0.5000 0.5000  4 Au 2.80
Au 0.7500 0.7500 0.7500  4 Be 2.80, 4 Pa 2.80

For the calculated density, the calculation gives 10.71 g/cm3. For the total moment, the calculation gives 0.00 μB/atom.

***

## R
This record from OQMD via LeMat-Bulk describes a geometry-optimized PaBeAu structure. The functional is PBE.

a b c (Å): 4.6623 4.6623 4.6623
angles (deg): 60.00 60.00 60.00
Last column: nearest neighbours and their distance in Å.
Fractional positions:
Pa 0.0000 0.0000 0.0000  4 Be 2.86, 4 Au 2.86
Be 0.2500 0.2500 0.2500  4 Pa 2.86
Au 0.7500 0.7500 0.7500  4 Pa 2.86

For the calculated density, the calculation gives 10.13 g/cm3. For the total moment, the calculation gives 0.00 μB/atom.

***

Energies relative to the most stable structure are P 0.000; Q 0.152; R 0.618, reported in eV/atom.

***

## P
This record from OQMD via LeMat-Bulk describes a geometry-optimized TaBePdAu structure. The functional is PBE.

a b c (Å): 4.4050 4.4050 4.4050
angles (deg): 60.00 60.00 60.00
Last column: nearest neighbours and their distance in Å.
Fractional positions:
Ta 0.0000 0.0000 0.0000  4 Au 2.70, 4 Be 2.70
Be 0.2500 0.2500 0.2500  4 Pd 2.70, 4 Ta 2.70
Pd 0.5000 0.5000 0.5000  4 Be 2.70, 4 Au 2.70
Au 0.7500 0.7500 0.7500  4 Pd 2.70, 4 Ta 2.70

For the calculated density, the calculation gives 13.55 g/cm3. For the total moment, the calculation gives 0.00 μB/atom.

***

## Q
This record from OQMD via LeMat-Bulk describes a geometry-optimized TaBePdAu structure. The functional is PBE.

a b c (Å): 4.3913 4.3913 4.3913
angles (deg): 60.00 60.00 60.00
Last column: nearest neighbours and their distance in Å.
Fractional positions:
Ta 0.0000 0.0000 0.0000  4 Be 2.69, 4 Pd 2.69
Be 0.2500 0.2500 0.2500  4 Au 2.69, 4 Ta 2.69
Pd 0.7500 0.7500 0.7500  4 Au 2.69, 4 Ta 2.69
Au 0.5000 0.5000 0.5000  4 Pd 2.69, 4 Be 2.69

For the calculated density, the calculation gives 13.68 g/cm3. For the total moment, the calculation gives 0.00 μB/atom.

***

Energies relative to the most stable structure are P 0.028; Q 0.000, reported in eV/atom.

***

## P
This record from OQMD via LeMat-Bulk describes a geometry-optimized BePtAu structure. The functional is PBE.

a b c (Å): 5.4662 5.4662 5.4662
angles (deg): 149.74 149.74 43.32
Last column: nearest neighbours and their distance in Å.
Fractional positions:
Be 0.0000 0.0000 0.0000  4 Pt 2.37, 4 Au 2.60
Pt 0.6227 0.6227 0.0000  4 Be 2.37
Au 0.3392 0.3392 0.0000  4 Be 2.60, 4 Au 2.85, 1 Pt 2.88

For the calculated density, the calculation gives 16.10 g/cm3. For the total moment, the calculation gives 0.00 μB/atom.

***

## Q
This record from OQMD via LeMat-Bulk describes a geometry-optimized BePtAu structure. The functional is PBE.

a b c (Å): 2.8459 2.8459 10.2388
angles (deg): 90.00 90.00 90.00
Last column: nearest neighbours and their distance in Å.
Fractional positions:
Be 0.2500 0.2500 0.2284  4 Pt 2.37, 4 Au 2.60
Be 0.7500 0.7500 0.7716  4 Pt 2.37, 4 Au 2.60
Pt 0.2500 0.2500 0.8936  4 Be 2.37
Pt 0.7500 0.7500 0.1064  4 Be 2.37
Au 0.2500 0.2500 0.6109  4 Be 2.60, 4 Au 2.85, 1 Pt 2.89
Au 0.7500 0.7500 0.3891  4 Be 2.60, 4 Au 2.85, 1 Pt 2.89

For the calculated density, the calculation gives 16.06 g/cm3. For the total moment, the calculation gives 0.00 μB/atom.

***

Energies relative to the most stable structure are P 0.000; Q 0.005, reported in eV/atom.

***

## P
This record from OQMD via LeMat-Bulk describes a geometry-optimized Be2Pt2Au structure. The functional is PBE.

a b c (Å): 6.8345 6.8345 2.7908
angles (deg): 90.00 90.00 90.00
Last column: nearest neighbours and their distance in Å.
Fractional positions:
Be 0.1385 0.3615 0.0000  6 Pt 2.43-2.46, 2 Au 2.65, 1 Be 2.68
Be 0.3615 0.8615 0.0000  6 Pt 2.43-2.46, 2 Au 2.65, 1 Be 2.68
Be 0.6385 0.1385 0.0000  6 Pt 2.43-2.46, 2 Au 2.65, 1 Be 2.68
Be 0.8615 0.6385 0.0000  6 Pt 2.43-2.46, 2 Au 2.65, 1 Be 2.68
Pt 0.1522 0.6522 0.5000  6 Be 2.43-2.46
Pt 0.3478 0.1522 0.5000  6 Be 2.43-2.46
Pt 0.6522 0.8478 0.5000  6 Be 2.43-2.46
Pt 0.8478 0.3478 0.5000  6 Be 2.43-2.46
Au 0.0000 0.0000 0.0000  4 Be 2.65, 2 Au 2.79, 8 Pt 2.95
Au 0.5000 0.5000 0.0000  4 Be 2.65, 2 Au 2.79, 8 Pt 2.95

For the calculated density, the calculation gives 15.42 g/cm3. For the total moment, the calculation gives 0.00 μB/atom.

***

## Q
This record from OQMD via LeMat-Bulk describes a geometry-optimized Be2Pt2Au structure. The functional is PBE.

a b c (Å): 5.4479 5.4479 5.4479
angles (deg): 138.28 138.28 60.48
Last column: nearest neighbours and their distance in Å.
Fractional positions:
Be 0.1244 0.1244 0.0000  4 Pt 2.27, 1 Be 2.34
Be 0.8756 0.8756 0.0000  4 Pt 2.27, 1 Be 2.34
Pt 0.2500 0.7500 0.5000  4 Be 2.27
Pt 0.7500 0.2500 0.5000  4 Be 2.27
Au 0.5000 0.5000 0.0000  8 Be 2.98, 8 Pt 3.05

For the calculated density, the calculation gives 14.18 g/cm3. For the total moment, the calculation gives 0.00 μB/atom.

***

Energies relative to the most stable structure are P 0.000; Q 0.209, reported in eV/atom.

***

## P
This record from OQMD via LeMat-Bulk describes a geometry-optimized TaBePtAu structure. The functional is PBE.

a b c (Å): 4.4205 4.4205 4.4205
angles (deg): 60.00 60.00 60.00
Last column: nearest neighbours and their distance in Å.
Fractional positions:
Ta 0.0000 0.0000 0.0000  4 Be 2.71, 4 Pt 2.71
Be 0.2500 0.2500 0.2500  4 Ta 2.71, 4 Au 2.71
Pt 0.7500 0.7500 0.7500  4 Ta 2.71, 4 Au 2.71
Au 0.5000 0.5000 0.5000  4 Be 2.71, 4 Pt 2.71

For the calculated density, the calculation gives 15.82 g/cm3. For the total moment, the calculation gives 0.00 μB/atom.

***

## Q
This record from OQMD via LeMat-Bulk describes a geometry-optimized TaBePtAu structure. The functional is PBE.

a b c (Å): 4.4584 4.4584 4.4584
angles (deg): 60.00 60.00 60.00
Last column: nearest neighbours and their distance in Å.
Fractional positions:
Ta 0.0000 0.0000 0.0000  4 Pt 2.73, 4 Au 2.73
Be 0.5000 0.5000 0.5000  4 Pt 2.73, 4 Au 2.73
Pt 0.7500 0.7500 0.7500  4 Ta 2.73, 4 Be 2.73
Au 0.2500 0.2500 0.2500  4 Be 2.73, 4 Ta 2.73

For the calculated density, the calculation gives 15.42 g/cm3. For the total moment, the calculation gives 0.00 μB/atom.

***

Energies relative to the most stable structure are P 0.026; Q 0.000, reported in eV/atom.

***

## P
This record from OQMD via LeMat-Bulk describes a geometry-optimized RbBeSiAu structure. The functional is PBE.

a b c (Å): 4.8253 4.8253 4.8253
angles (deg): 60.00 60.00 60.00
Last column: nearest neighbours and their distance in Å.
Fractional positions:
Rb 0.0000 0.0000 0.0000  4 Be 2.95, 4 Si 2.95
Be 0.7500 0.7500 0.7500  4 Au 2.95, 4 Rb 2.95
Si 0.2500 0.2500 0.2500  4 Rb 2.95, 4 Au 2.95
Au 0.5000 0.5000 0.5000  4 Be 2.95, 4 Si 2.95

For the calculated density, the calculation gives 6.68 g/cm3.

***

## Q
This record from OQMD via LeMat-Bulk describes a geometry-optimized RbBeSiAu structure. The functional is PBE.

a b c (Å): 4.9505 4.9505 4.9505
angles (deg): 60.00 60.00 60.00
Last column: nearest neighbours and their distance in Å.
Fractional positions:
Rb 0.0000 0.0000 0.0000  4 Be 3.03, 4 Au 3.03
Be 0.2500 0.2500 0.2500  4 Rb 3.03, 4 Si 3.03
Si 0.5000 0.5000 0.5000  4 Be 3.03, 4 Au 3.03
Au 0.7500 0.7500 0.7500  4 Rb 3.03, 4 Si 3.03

For the calculated density, the calculation gives 6.19 g/cm3.

***

Energies relative to the most stable structure are P 0.000; Q 0.029, reported in eV/atom.

***

## P
This record from OQMD via LeMat-Bulk describes a geometry-optimized RbBeSnAu structure. The functional is PBE.

a b c (Å): 5.1695 5.1695 5.1695
angles (deg): 60.00 60.00 60.00
Last column: nearest neighbours and their distance in Å.
Fractional positions:
Rb 0.0000 0.0000 0.0000  4 Sn 3.17, 4 Au 3.17
Be 0.5000 0.5000 0.5000  4 Sn 3.17, 4 Au 3.17
Sn 0.2500 0.2500 0.2500  4 Be 3.17, 4 Rb 3.17
Au 0.7500 0.7500 0.7500  4 Rb 3.17, 4 Be 3.17

For the calculated density, the calculation gives 6.97 g/cm3.

***

## Q
This record from OQMD via LeMat-Bulk describes a geometry-optimized RbBeSnAu structure. The functional is PBE.

a b c (Å): 5.1701 5.1701 5.1701
angles (deg): 60.00 60.00 60.00
Last column: nearest neighbours and their distance in Å.
Fractional positions:
Rb 0.0000 0.0000 0.0000  4 Au 3.17, 4 Be 3.17
Be 0.2500 0.2500 0.2500  4 Sn 3.17, 4 Rb 3.17
Sn 0.5000 0.5000 0.5000  4 Be 3.17, 4 Au 3.17
Au 0.7500 0.7500 0.7500  4 Sn 3.17, 4 Rb 3.17

For the calculated density, the calculation gives 6.97 g/cm3.

***

Energies relative to the most stable structure are P 0.136; Q 0.000, reported in eV/atom.

***

## P
This record from OQMD via LeMat-Bulk describes a geometry-optimized ScBeAu structure. The functional is PBE.

a b c (Å): 4.3970 4.3970 4.3970
angles (deg): 60.00 60.00 60.00
Last column: nearest neighbours and their distance in Å.
Fractional positions:
Sc 0.0000 0.0000 0.0000  4 Au 2.69, 4 Be 2.69
Be 0.2500 0.2500 0.2500  4 Sc 2.69
Au 0.7500 0.7500 0.7500  4 Sc 2.69

For the calculated density, the calculation gives 6.93 g/cm3. For the total moment, the calculation gives 0.00 μB/atom.

***

## Q
This record from OQMD via LeMat-Bulk describes a geometry-optimized ScBeAu structure. The functional is PBE.

a b c (Å): 4.3462 4.3462 4.3462
angles (deg): 60.00 60.00 60.00
Last column: nearest neighbours and their distance in Å.
Fractional positions:
Sc 0.0000 0.0000 0.0000  4 Au 2.66
Be 0.5000 0.5000 0.5000  4 Au 2.66
Au 0.7500 0.7500 0.7500  4 Be 2.66, 4 Sc 2.66

For the calculated density, the calculation gives 7.18 g/cm3. For the total moment, the calculation gives 0.19 μB/atom.

***

Energies relative to the most stable structure are P 0.390; Q 0.000, reported in eV/atom.

***

## P
This record from OQMD via LeMat-Bulk describes a geometry-optimized TaBeAu structure. The functional is PBE.

a b c (Å): 4.2062 4.2062 4.2062
angles (deg): 60.00 60.00 60.00
Last column: nearest neighbours and their distance in Å.
Fractional positions:
Ta 0.0000 0.0000 0.0000  4 Au 2.58
Be 0.5000 0.5000 0.5000  4 Au 2.58
Au 0.7500 0.7500 0.7500  4 Ta 2.58, 4 Be 2.58

For the calculated density, the calculation gives 12.21 g/cm3. For the total moment, the calculation gives 0.00 μB/atom.

***

## Q
This record from OQMD via LeMat-Bulk describes a geometry-optimized TaBeAu structure. The functional is PBE.

a b c (Å): 7.5108 7.5108 3.4198
angles (deg): 90.00 90.00 153.43
Last column: nearest neighbours and their distance in Å.
Fractional positions:
Ta 0.0873 0.9127 0.7500  6 Be 2.51-2.54
Ta 0.9127 0.0873 0.2500  6 Be 2.51-2.54
Be 0.4627 0.5373 0.7500  2 Be 2.03
Be 0.5373 0.4627 0.2500  2 Be 2.03
Au 0.3019 0.6981 0.7500  1 Be 2.35
Au 0.6981 0.3019 0.2500  1 Be 2.35

For the calculated density, the calculation gives 14.89 g/cm3. For the total moment, the calculation gives 0.00 μB/atom.

***

## R
This record from OQMD via LeMat-Bulk describes a geometry-optimized TaBeAu structure. The functional is PBE.

a b c (Å): 4.2660 4.2660 4.2660
angles (deg): 60.00 60.00 60.00
Last column: nearest neighbours and their distance in Å.
Fractional positions:
Ta 0.0000 0.0000 0.0000  4 Au 2.61, 4 Be 2.61
Be 0.2500 0.2500 0.2500  4 Ta 2.61
Au 0.7500 0.7500 0.7500  4 Ta 2.61

For the calculated density, the calculation gives 11.70 g/cm3. For the total moment, the calculation gives 0.00 μB/atom.

***

Energies relative to the most stable structure are P 0.512; Q 0.000; R 0.960, reported in eV/atom.

***

## P
This record from OQMD via LeMat-Bulk describes a geometry-optimized BeTlZnAu structure. The functional is PBE.

a b c (Å): 4.6974 4.6974 4.6974
angles (deg): 60.00 60.00 60.00
Last column: nearest neighbours and their distance in Å.
Fractional positions:
Be 0.0000 0.0000 0.0000  4 Zn 2.88, 4 Au 2.88
Tl 0.5000 0.5000 0.5000  4 Zn 2.88, 4 Au 2.88
Zn 0.7500 0.7500 0.7500  4 Be 2.88, 4 Tl 2.88
Au 0.2500 0.2500 0.2500  4 Tl 2.88, 4 Be 2.88

For the calculated density, the calculation gives 10.78 g/cm3.

***

## Q
This record from OQMD via LeMat-Bulk describes a geometry-optimized BeTlZnAu structure. The functional is PBE.

a b c (Å): 4.6240 4.6240 4.6240
angles (deg): 60.00 60.00 60.00
Last column: nearest neighbours and their distance in Å.
Fractional positions:
Be 0.0000 0.0000 0.0000  4 Au 2.83, 4 Tl 2.83
Tl 0.2500 0.2500 0.2500  4 Be 2.83, 4 Zn 2.83
Zn 0.5000 0.5000 0.5000  4 Au 2.83, 4 Tl 2.83
Au 0.7500 0.7500 0.7500  4 Be 2.83, 4 Zn 2.83

For the calculated density, the calculation gives 11.30 g/cm3.

***

Energies relative to the most stable structure are P 0.113; Q 0.000, reported in eV/atom.

***

## P
This record from OQMD via LeMat-Bulk describes a geometry-optimized BeWAu structure. The functional is PBE.

a b c (Å): 4.2137 4.2137 4.2137
angles (deg): 60.00 60.00 60.00
Last column: nearest neighbours and their distance in Å.
Fractional positions:
Be 0.0000 0.0000 0.0000  4 W 2.58
W 0.7500 0.7500 0.7500  4 Be 2.58, 4 Au 2.58
Au 0.5000 0.5000 0.5000  4 W 2.58

For the calculated density, the calculation gives 12.24 g/cm3. For the total moment, the calculation gives 0.00 μB/atom.

***

## Q
This record from OQMD via LeMat-Bulk describes a geometry-optimized BeWAu structure. The functional is PBE.

a b c (Å): 4.0063 4.0063 4.0063
angles (deg): 60.00 60.00 60.00
Last column: nearest neighbours and their distance in Å.
Fractional positions:
Be 0.0000 0.0000 0.0000  4 W 2.45, 4 Au 2.45
W 0.2500 0.2500 0.2500  4 Be 2.45
Au 0.7500 0.7500 0.7500  4 Be 2.45

For the calculated density, the calculation gives 14.24 g/cm3. For the total moment, the calculation gives 0.40 μB/atom.

***

Energies relative to the most stable structure are P 0.459; Q 0.000, reported in eV/atom.

***

## P
This record from OQMD via LeMat-Bulk describes a geometry-optimized BeZnAu2 structure. The functional is PBE.

a b c (Å): 2.9692 2.9692 6.6430
angles (deg): 90.00 90.00 90.00
Last column: nearest neighbours and their distance in Å.
Fractional positions:
Be 0.0000 0.0000 0.0000  8 Au 2.55
Zn 0.0000 0.0000 0.5000  8 Au 2.81, 4 Zn 2.97
Au 0.5000 0.5000 0.2185  4 Be 2.55, 4 Zn 2.81
Au 0.5000 0.5000 0.7815  4 Be 2.55, 4 Zn 2.81

For the calculated density, the calculation gives 13.28 g/cm3.

***

## Q
This record from OQMD via LeMat-Bulk describes a geometry-optimized BeZnAu2 structure. The functional is PBE.

a b c (Å): 4.4305 4.4305 4.4305
angles (deg): 60.00 60.00 60.00
Last column: nearest neighbours and their distance in Å.
Fractional positions:
Be 0.0000 0.0000 0.0000  4 Zn 2.71, 4 Au 2.71
Zn 0.2500 0.2500 0.2500  4 Be 2.71, 4 Au 2.71
Au 0.5000 0.5000 0.5000  4 Zn 2.71, 4 Au 2.71
Au 0.7500 0.7500 0.7500  4 Be 2.71, 4 Au 2.71

For the calculated density, the calculation gives 12.65 g/cm3.

***

Energies relative to the most stable structure are P 0.000; Q 0.255, reported in eV/atom.